! NaScRe2 PBE relaxed; values from VASP
&SYSTEM
  ibrav = 0, nat = 4, ntyp = 3
/
ATOMIC_SPECIES
Na 22.99 Na.upf
Sc 44.96 Sc.upf
Re 186.21 Re.upf
ATOMIC_POSITIONS crystal
Na 0.0000 0.0000 0.0000
Sc 0.5000 0.5000 0.5000
Re 0.2500 0.2500 0.2500
Re 0.7500 0.7500 0.7500
CELL_PARAMETERS angstrom
0.0000 3.2511 3.2511
3.2511 0.0000 3.2511
3.2511 3.2511 0.0000
! Formation energy, eV/f.u.: 4.81
! Total magnetization, μB per formula unit: 0.7

=====

! Na3Tl12Ga PBE relaxed; values from VASP
&SYSTEM
  ibrav = 0, nat = 16, ntyp = 3
/
ATOMIC_SPECIES
Na 22.99 Na.upf
Tl 204.38 Tl.upf
Ga 69.72 Ga.upf
ATOMIC_POSITIONS crystal
Na 0.0000 0.0000 0.0000
Na 0.0000 0.0000 0.2513
Na 0.0000 0.0000 0.7487
Tl 0.0000 0.5000 0.1249
Tl 0.0000 0.5000 0.3787
Tl 0.0000 0.5000 0.6213
Tl 0.0000 0.5000 0.8751
Tl 0.5000 0.0000 0.1249
Tl 0.5000 0.0000 0.3787
Tl 0.5000 0.0000 0.6213
Tl 0.5000 0.0000 0.8751
Tl 0.5000 0.5000 0.0000
Tl 0.5000 0.5000 0.2497
Tl 0.5000 0.5000 0.5000
Tl 0.5000 0.5000 0.7503
Ga 0.0000 0.0000 0.5000
CELL_PARAMETERS angstrom
4.8882 0.0000 0.0000
0.0000 4.8882 0.0000
0.0000 0.0000 19.3559
! Formation energy, eV/f.u.: -0.44
! Total magnetization, μB per formula unit: 0.0

=====

! BaCuPt2 PBE relaxed; values from VASP
&SYSTEM
  ibrav = 0, nat = 8, ntyp = 3
/
ATOMIC_SPECIES
Ba 137.33 Ba.upf
Cu 63.55 Cu.upf
Pt 195.08 Pt.upf
ATOMIC_POSITIONS crystal
Ba 0.0000 0.0000 0.0000
Ba 0.7500 0.2500 0.5000
Cu 0.2500 0.7500 0.5000
Cu 0.5000 0.5000 0.0000
Pt 0.3314 0.6250 0.2064
Pt 0.3750 0.5814 0.7064
Pt 0.4186 0.1250 0.7936
Pt 0.8750 0.6686 0.2936
CELL_PARAMETERS angstrom
-2.5083 2.5083 8.5565
2.5083 -2.5083 8.5565
2.5083 2.5083 -8.5565
! Formation energy, eV/f.u.: -1.43
! Total magnetization, μB per formula unit: 0.0

=====

! Nd7Tl2Os2 PBE relaxed; values from VASP
&SYSTEM
  ibrav = 0, nat = 11, ntyp = 3
/
ATOMIC_SPECIES
Nd 144.24 Nd.upf
Tl 204.38 Tl.upf
Os 190.23 Os.upf
ATOMIC_POSITIONS crystal
Nd 0.0000 0.0000 0.0000
Nd 0.0000 0.5000 0.2473
Nd 0.0000 0.5000 0.7527
Nd 0.5000 0.0000 0.2473
Nd 0.5000 0.0000 0.7527
Nd 0.5000 0.5000 0.2397
Nd 0.5000 0.5000 0.7603
Tl 0.1771 0.1771 0.5000
Tl 0.8229 0.8229 0.5000
Os 0.2915 0.7085 0.0000
Os 0.7085 0.2915 0.0000
CELL_PARAMETERS angstrom
4.2308 -5.6593 0.0000
4.2308 5.6593 0.0000
0.0000 0.0000 7.2967
! Formation energy, eV/f.u.: -1.33
! Total magnetization, μB per formula unit: 0.0

=====

! Si2PtRh PBE relaxed; values from VASP
&SYSTEM
  ibrav = 0, nat = 4, ntyp = 3
/
ATOMIC_SPECIES
Si 28.09 Si.upf
Pt 195.08 Pt.upf
Rh 102.91 Rh.upf
ATOMIC_POSITIONS crystal
Si 0.2479 0.2479 0.2365
Si 0.7521 0.7521 0.7635
Pt 0.0000 0.0000 0.5000
Rh 0.5000 0.5000 0.0000
CELL_PARAMETERS angstrom
3.9237 -1.4656 0.0000
3.9237 1.4656 0.0000
-1.0551 0.0000 4.8856
! Final energy, eV per cell: -26.21
! Total magnetization, μB per formula unit: 0.0

=====

! AcNdSc2 PBE relaxed; values from VASP
&SYSTEM
  ibrav = 0, nat = 4, ntyp = 3
/
ATOMIC_SPECIES
Ac 227.00 Ac.upf
Nd 144.24 Nd.upf
Sc 44.96 Sc.upf
ATOMIC_POSITIONS crystal
Ac 0.0000 0.0000 0.0000
Nd 0.5000 0.5000 0.5000
Sc 0.2500 0.2500 0.2500
Sc 0.7500 0.7500 0.7500
CELL_PARAMETERS angstrom
0.0000 3.9845 3.9845
3.9845 0.0000 3.9845
3.9845 3.9845 0.0000
! Formation energy, eV/f.u.: 0.39
! Total magnetization, μB per formula unit: 0.0